Here is PmMnTeO2 after structural relaxation from Alexandria. Energies are from GGA+U.

Unit cell a=5.529 b=13.468 c=5.524 alpha=90.00 beta=90.00 gamma=90.00
Space group Cmcm (No. 63)
Asymmetric unit:
Pm 0.000 0.090 0.250 (multiplicity 4)
Mn 0.000 0.449 0.250 (multiplicity 4)
Te 0.000 0.249 0.750 (multiplicity 4)
O 0.246 0.500 0.000 (multiplicity 8)

Summary:
Raw total energy = -34.96 eV/f.u.